VASP calculation (PBE) on a geometry-optimized U2SbO structure.

Values from the calculation:
space group = I4/mmm (139)

Unit cell a=3.9361 b=3.9361 c=21.3602 alpha=90.00 beta=90.00 gamma=90.00
Atoms (fractional coordinates):
U (0.0000, 0.0000, 0.1918)
U (0.0000, 0.0000, 0.8082)
U (0.0000, 0.5000, 0.0000)
U (0.0000, 0.5000, 0.5000)
U (0.5000, 0.0000, 0.0000)
U (0.5000, 0.0000, 0.5000)
U (0.5000, 0.5000, 0.3083)
U (0.5000, 0.5000, 0.6918)
Sb (0.0000, 0.0000, 0.3854)
Sb (0.0000, 0.0000, 0.6146)
Sb (0.5000, 0.5000, 0.1146)
Sb (0.5000, 0.5000, 0.8854)
O (0.0000, 0.5000, 0.2500)
O (0.0000, 0.5000, 0.7500)
O (0.5000, 0.0000, 0.2500)
O (0.5000, 0.0000, 0.7500)

***

VASP calculation (PBE) on a geometry-optimized ErLu2Th structure.

Values from the calculation:
space group = P4/mmm (123)
DFT formation energy = 25 meV per atom

Unit cell a=3.5095 b=3.5095 c=9.9367 alpha=90.00 beta=90.00 gamma=90.00
Atoms (fractional coordinates):
Er (0.0000, 0.0000, 0.0000)
Lu (0.5000, 0.5000, 0.2521)
Lu (0.5000, 0.5000, 0.7479)
Th (0.0000, 0.0000, 0.5000)

***

VASP calculation (PBE) on a geometry-optimized K2PdCl2F2 structure.

Values from the calculation:
space group = C2/m (12)

Unit cell a=12.5383 b=4.0942 c=7.1245 alpha=90.00 beta=121.03 gamma=90.00
Atoms (fractional coordinates):
K (0.1834, 0.0000, 0.2091)
K (0.3166, 0.5000, 0.7909)
K (0.6834, 0.5000, 0.2091)
K (0.8166, 0.0000, 0.7909)
Pd (0.0000, 0.0000, 0.5000)
Pd (0.5000, 0.5000, 0.5000)
Cl (0.0470, 0.5000, 0.7820)
Cl (0.4530, 0.0000, 0.2180)
Cl (0.5470, 0.0000, 0.7820)
Cl (0.9530, 0.5000, 0.2180)
F (0.1773, 0.0000, 0.5791)
F (0.3227, 0.5000, 0.4209)
F (0.6773, 0.5000, 0.5791)
F (0.8227, 0.0000, 0.4209)

***

VASP calculation (PBE) on a geometry-optimized LaRe5 structure.

Values from the calculation:
space group = Cm (8)
DFT formation energy = 418 meV per atom

Unit cell a=10.6757 b=2.8820 c=6.9491 alpha=90.00 beta=106.12 gamma=90.00
Atoms (fractional coordinates):
La (0.0000, 0.0000, 0.0000)
La (0.5000, 0.5000, 0.0000)
Re (0.0220, 0.0000, 0.5641)
Re (0.1534, 0.5000, 0.3549)
Re (0.2254, 0.5000, 0.9151)
Re (0.3013, 0.0000, 0.6390)
Re (0.3435, 0.0000, 0.2749)
Re (0.5220, 0.5000, 0.5641)
Re (0.6534, 0.0000, 0.3549)
Re (0.7254, 0.0000, 0.9151)
Re (0.8013, 0.5000, 0.6390)
Re (0.8435, 0.5000, 0.2749)

***

Number 1: total moment 0.980 μB/atom, uncorrected energy -9.25 eV per atom. Number 2: total moment 0.000 μB/atom, uncorrected energy -5.23 eV per atom. Number 3: total moment 0.025 μB/atom, uncorrected energy -3.79 eV per atom. Number 4: total moment 0.000 μB/atom, uncorrected energy -10.78 eV per atom.